1.
First-principles (GGA-PBE) data for an optimized crystal structure of PmSm2HgO, as listed in Alexandria.

a = 4.9158 Å, b = 4.8903 Å, c = 4.8903 Å
α = 90.00°, β = 90.00°, γ = 90.00°
Closest atoms and distances in Å follow each position.
Fractional coordinates of all 5 atoms:
O  0.0000  0.0000  0.0000  4 Sm 2.45, 2 Pm 2.46
Pm  0.5000  0.0000  0.0000  2 O 2.46
Sm  0.0000  0.0000  0.5000  2 O 2.45
Hg  0.5000  0.5000  0.5000  4 Pm 3.46, 8 Sm 3.47
Sm  0.0000  0.5000  0.0000  2 O 2.45

***

2.
First-principles (GGA-PBE) data for an optimized crystal structure of Pm2SmHgO, as listed in Alexandria.

a = 4.8913 Å, b = 4.9186 Å, c = 4.9186 Å
α = 90.00°, β = 90.00°, γ = 90.00°
Closest atoms and distances in Å follow each position.
Fractional coordinates of all 5 atoms:
Pm  0.0000  0.0000  0.5000  2 O 2.46
Sm  0.5000  0.0000  0.0000  2 O 2.45
Hg  0.5000  0.5000  0.5000  8 Pm 3.47, 4 Sm 3.48
Pm  0.0000  0.5000  0.0000  2 O 2.46
O  0.0000  0.0000  0.0000  2 Sm 2.45, 4 Pm 2.46

***

3.
First-principles (GGA-PBE) data for an optimized crystal structure of Pm2Sm4Hg3O2, as listed in Alexandria.

a = 4.8643 Å, b = 4.8643 Å, c = 12.4383 Å
α = 101.28°, β = 101.28°, γ = 90.00°
Closest atoms and distances in Å follow each position.
Fractional coordinates of all 11 atoms:
O  0.3977  0.3977  0.7954  1 Pm 2.37, 4 Sm 2.47
Hg  0.0000  0.0000  0.0000  8 Sm 3.17
Sm  0.9151  0.4151  0.8302  2 O 2.47
Hg  0.1711  0.1711  0.3422  1 Pm 3.05, 4 Sm 3.19
Sm  0.0849  0.5849  0.1698  2 O 2.47
Pm  0.2986  0.2986  0.5972  1 O 2.37
Pm  0.7014  0.7014  0.4028  1 O 2.37
Sm  0.5849  0.0849  0.1698  2 O 2.47
Hg  0.8289  0.8289  0.6578  1 Pm 3.05, 4 Sm 3.19
O  0.6023  0.6023  0.2046  1 Pm 2.37, 4 Sm 2.47
Sm  0.4151  0.9151  0.8302  2 O 2.47

***

4.
First-principles (GGA-PBE) data for an optimized crystal structure of Tb2PmHgO, as listed in Alexandria.

a = 4.9058 Å, b = 4.7952 Å, c = 4.7952 Å
α = 90.00°, β = 90.00°, γ = 90.00°
Closest atoms and distances in Å follow each position.
Fractional coordinates of all 5 atoms:
Pm  0.5000  0.0000  0.0000  2 O 2.45
Hg  0.5000  0.5000  0.5000  4 Pm 3.39, 8 Tb 3.43
O  0.0000  0.0000  0.0000  4 Tb 2.40, 2 Pm 2.45
Tb  0.0000  0.0000  0.5000  2 O 2.40
Tb  0.0000  0.5000  0.0000  2 O 2.40

***

5.
First-principles (GGA-PBE) data for an optimized crystal structure of PmTcHg2O6, as listed in Alexandria.

a = 5.7914 Å, b = 5.7913 Å, c = 5.9478 Å
α = 60.86°, β = 60.86°, γ = 60.00°
Closest atoms and distances in Å follow each position.
Fractional coordinates of all 10 atoms:
O  0.5369  0.1931  0.2780  1 Tc 1.95
Hg  0.5712  0.5712  0.2863  3 O 2.32
O  0.1932  0.9919  0.2780  1 Tc 1.95
O  0.4392  0.6404  0.8250  1 Tc 1.95
O  0.0954  0.4393  0.8251  1 Tc 1.95
O  0.9919  0.5369  0.2781  1 Tc 1.95
Tc  0.3162  0.3162  0.0515  6 O 1.95
O  0.6403  0.0954  0.8250  1 Tc 1.95
Hg  0.0611  0.0611  0.8167  3 O 2.32
Pm  0.8162  0.8162  0.5515  6 O 2.37

***

6.
First-principles (GGA-PBE) data for an optimized crystal structure of Pm2TcHgO8, as listed in Alexandria.

a = 4.7579 Å, b = 4.7686 Å, c = 7.7173 Å
α = 86.19°, β = 86.22°, γ = 94.06°
Closest atoms and distances in Å follow each position.
Fractional coordinates of all 12 atoms:
O  0.1115  0.7376  0.1756  1 Tc 1.91
O  0.7382  0.1112  0.1761  1 Tc 1.91
O  0.6915  0.6912  0.5152  1 Hg 2.00
O  0.3085  0.3088  0.4848  1 Hg 2.00
O  0.7224  0.7236  0.9469  1 Tc 1.88
Tc  0.0000  0.0000  0.0000  6 O 1.88-1.91
Pm  0.5562  0.5553  0.2445  6 O 2.33-2.45
Pm  0.4438  0.4447  0.7555  6 O 2.33-2.45
O  0.8885  0.2624  0.8244  1 Tc 1.91
O  0.2776  0.2764  0.0531  1 Tc 1.88
O  0.2618  0.8888  0.8239  1 Tc 1.91
Hg  0.0000  0.0000  0.5000  2 O 2.00

***

7.
First-principles (GGA-PBE) data for an optimized crystal structure of PmTcHgO6, as listed in Alexandria.

a = 5.8332 Å, b = 5.8248 Å, c = 5.4008 Å
α = 80.97°, β = 99.09°, γ = 60.44°
Closest atoms and distances in Å follow each position.
Fractional coordinates of all 9 atoms:
Tc  0.3114  0.3109  0.5004  4 O 1.80-1.83
O  0.9958  0.4084  0.2757  1 Tc 1.80
Hg  0.9780  0.9792  0.0002  2 O 2.02
O  0.3061  0.6641  0.2821  1 Hg 2.02, 1 Tc 2.19, 1 Pm 2.25
O  0.1256  0.5417  0.6880  1 Tc 1.83
Pm  0.6676  0.6675  0.4986  6 O 2.25-2.42
O  0.5415  0.1262  0.3118  1 Tc 1.83
O  0.4107  0.9945  0.7250  1 Tc 1.80
O  0.6630  0.3075  0.7181  1 Hg 2.02, 1 Tc 2.19, 1 Pm 2.26

***

8.
First-principles (GGA-PBE) data for an optimized crystal structure of Pm2HgTeO8, as listed in Alexandria.

a = 4.6013 Å, b = 5.1924 Å, c = 7.2662 Å
α = 84.96°, β = 91.75°, γ = 95.27°
Closest atoms and distances in Å follow each position.
Fractional coordinates of all 12 atoms:
O  0.6569  0.7729  0.9550  1 Te 1.92
O  0.3431  0.2271  0.0450  1 Te 1.92
O  0.2950  0.3137  0.4774  1 Hg 2.02
Te  0.0000  0.0000  0.0000  6 O 1.92-2.09
Pm  0.5830  0.5251  0.2413  6 O 2.31-2.51
O  0.8054  0.1030  0.2364  1 Te 2.09, 1 Hg 2.14
O  0.7050  0.6863  0.5226  1 Hg 2.02
Hg  0.0000  0.0000  0.5000  4 O 2.02-2.14
Pm  0.4170  0.4749  0.7587  6 O 2.31-2.51
O  0.1234  0.7158  0.1634  1 Te 1.93
O  0.1946  0.8970  0.7636  1 Te 2.09, 1 Hg 2.14
O  0.8766  0.2842  0.8366  1 Te 1.93

***

9.
First-principles (GGA-PBE) data for an optimized crystal structure of PmHgTeO6, as listed in Alexandria.

a = 5.1327 Å, b = 5.1327 Å, c = 10.2870 Å
α = 90.00°, β = 90.00°, γ = 90.00°
Closest atoms and distances in Å follow each position.
Fractional coordinates of all 18 atoms:
Te  0.0000  0.0000  0.3335  6 O 1.95-1.96
O  0.3180  0.3180  0.6944  1 Te 1.95
Hg  0.5000  0.5000  0.4981  6 O 2.35-2.43
O  0.6820  0.6820  0.6944  1 Te 1.95
Pm  0.0000  0.0000  0.6706  6 O 2.32-2.38
O  0.3221  0.3221  0.9766  1 Te 1.96
O  0.2688  0.2688  0.3279  1 Te 1.95
O  0.7312  0.7312  0.3279  1 Te 1.95
O  0.8180  0.1820  0.1944  1 Te 1.95
O  0.1820  0.8180  0.1944  1 Te 1.95
O  0.8221  0.1779  0.4766  1 Te 1.96
Pm  0.5000  0.5000  0.1706  6 O 2.32-2.38
Hg  0.0000  0.0000  0.9981  6 O 2.35-2.43
O  0.2312  0.7688  0.8279  1 Te 1.95
Te  0.5000  0.5000  0.8335  6 O 1.95-1.96
O  0.7688  0.2312  0.8279  1 Te 1.95
O  0.6779  0.6779  0.9766  1 Te 1.96
O  0.1779  0.8221  0.4766  1 Te 1.96

***

10.
First-principles (GGA-PBE) data for an optimized crystal structure of PmHg2TeO6, as listed in Alexandria.

a = 5.8406 Å, b = 5.8407 Å, c = 6.0367 Å
α = 61.07°, β = 61.07°, γ = 60.00°
Closest atoms and distances in Å follow each position.
Fractional coordinates of all 10 atoms:
O  0.1939  0.9841  0.2817  1 Te 2.00
Hg  0.5686  0.5686  0.2942  3 O 2.31
O  0.5403  0.1938  0.2816  1 Te 2.00
O  0.9842  0.5401  0.2818  1 Te 2.00
O  0.4383  0.6484  0.8208  1 Te 2.01
O  0.6483  0.0927  0.8206  1 Te 2.01
Hg  0.0631  0.0632  0.8106  3 O 2.31
Te  0.3162  0.3162  0.0515  6 O 2.00-2.01
Pm  0.8161  0.8161  0.5516  6 O 2.37
O  0.0925  0.4384  0.8209  1 Te 2.01

***

11.
First-principles (GGA-PBE) data for an optimized crystal structure of PmHgTeO, as listed in Alexandria.

a = 4.0120 Å, b = 4.0120 Å, c = 13.1666 Å
α = 90.00°, β = 90.00°, γ = 90.00°
Closest atoms and distances in Å follow each position.
Fractional coordinates of all 8 atoms:
Pm  0.7500  0.7500  0.9114  4 O 2.32
Hg  0.2500  0.7500  0.5000  4 Hg 2.84
O  0.7500  0.2500  0.0000  4 Pm 2.32
Te  0.7500  0.7500  0.2501  4 Pm 3.55, 4 Hg 3.85, 4 O 3.86
Hg  0.7500  0.2500  0.5000  4 Hg 2.84
O  0.2500  0.7500  0.0000  4 Pm 2.32
Te  0.2500  0.2500  0.7499  4 Pm 3.55, 4 Hg 3.85, 4 O 3.86
Pm  0.2500  0.2500  0.0886  4 O 2.32

***

12.
First-principles (GGA-PBE) data for an optimized crystal structure of PmHgTe2O8, as listed in Alexandria.

a = 6.3617 Å, b = 6.3617 Å, c = 6.3617 Å
α = 107.20°, β = 107.20°, γ = 114.12°
Closest atoms and distances in Å follow each position.
Fractional coordinates of all 12 atoms:
O  0.9379  0.6211  0.6832  1 Te 1.90
O  0.4807  0.6715  0.8091  1 Te 1.87
O  0.8624  0.6715  0.1909  1 Te 1.87
O  0.3789  0.0621  0.3168  1 Te 1.90
Pm  0.2500  0.7500  0.5000  8 O 2.40-2.56
Hg  0.0000  0.0000  0.0000  8 O 2.43-2.69
Te  0.7500  0.2500  0.5000  4 O 1.90
O  0.3285  0.5193  0.1909  1 Te 1.87
O  0.9379  0.2547  0.3168  1 Te 1.90
O  0.7453  0.0621  0.6832  1 Te 1.90
O  0.3285  0.1376  0.8091  1 Te 1.87
Te  0.5000  0.5000  0.0000  4 O 1.87

***

13.
First-principles (GGA-PBE) data for an optimized crystal structure of Pm2TiHgO6, as listed in Alexandria.

a = 5.3341 Å, b = 5.3901 Å, c = 5.3901 Å
α = 90.00°, β = 90.00°, γ = 90.00°
Closest atoms and distances in Å follow each position.
Fractional coordinates of all 10 atoms:
Pm  0.9877  0.0000  0.5000  4 O 2.31
Pm  0.9877  0.5000  0.0000  4 O 2.31
O  0.2566  0.0000  0.0000  1 Ti 1.84
O  0.7447  0.2333  0.7667  1 Ti 1.93
Hg  0.5133  0.5000  0.5000  1 O 2.10
O  0.7447  0.7667  0.7667  1 Ti 1.93
O  0.7447  0.2333  0.2333  1 Ti 1.93
O  0.7447  0.7667  0.2333  1 Ti 1.93
O  0.1205  0.5000  0.5000  1 Hg 2.10
Ti  0.6021  0.0000  0.0000  5 O 1.84-1.93

***

14.
First-principles (GGA-PBE) data for an optimized crystal structure of Pm4TlHgO, as listed in Alexandria.

a = 6.7969 Å, b = 6.8129 Å, c = 8.8756 Å
α = 90.00°, β = 112.51°, γ = 90.00°
Closest atoms and distances in Å follow each position.
Fractional coordinates of all 14 atoms:
Pm  0.4294  0.7500  0.8588  1 O 3.02, 1 Hg 3.07
O  0.7545  0.2500  0.5091  4 Pm 2.41
O  0.2455  0.7500  0.4909  4 Pm 2.41
Pm  0.0798  0.7500  0.1596  1 O 2.72
Pm  0.0000  0.0000  0.5000  2 O 2.41
Pm  0.5706  0.2500  0.1412  1 O 3.02, 1 Hg 3.07
Tl  0.1113  0.2500  0.2226  9 Pm 3.13-3.46
Pm  0.5000  0.5000  0.5000  2 O 2.41
Hg  0.3834  0.2500  0.7667  5 Pm 3.07-3.25
Hg  0.6166  0.7500  0.2333  5 Pm 3.07-3.25
Pm  0.9202  0.2500  0.8404  1 O 2.72
Pm  0.0000  0.5000  0.5000  2 O 2.41
Pm  0.5000  0.0000  0.5000  2 O 2.41
Tl  0.8887  0.7500  0.7774  9 Pm 3.13-3.46

***

15.
First-principles (GGA-PBE) data for an optimized crystal structure of PmTlHgO4, as listed in Alexandria.

a = 6.8623 Å, b = 6.9511 Å, c = 6.9511 Å
α = 61.91°, β = 60.42°, γ = 60.42°
Closest atoms and distances in Å follow each position.
Fractional coordinates of all 14 atoms:
O  0.2446  0.2243  0.2865  2 Tl 2.32, 1 Pm 2.40, 1 Hg 2.42
O  0.2446  0.7865  0.7243  2 Tl 2.32, 1 Pm 2.40, 1 Hg 2.42
Hg  0.3823  0.3677  0.8677  4 O 2.26-2.42
Hg  0.6177  0.6323  0.1323  4 O 2.26-2.42
O  0.2293  0.2427  0.7427  1 Hg 2.26, 2 Pm 2.35, 1 Tl 2.37
Tl  0.5000  0.0000  0.5000  6 O 2.32-2.37
Pm  0.0000  0.5000  0.5000  6 O 2.35-2.40
O  0.7554  0.7757  0.7135  2 Tl 2.32, 1 Pm 2.40, 1 Hg 2.42
Tl  0.0000  0.0000  0.5000  6 O 2.32-2.37
O  0.7852  0.2427  0.7427  1 Hg 2.26, 2 Pm 2.35, 1 Tl 2.37
O  0.7707  0.7573  0.2573  1 Hg 2.26, 2 Pm 2.35, 1 Tl 2.37
O  0.7554  0.2135  0.2757  2 Tl 2.32, 1 Pm 2.40, 1 Hg 2.42
O  0.2148  0.7573  0.2573  1 Hg 2.26, 2 Pm 2.35, 1 Tl 2.37
Pm  0.0000  0.0000  0.0000  6 O 2.35-2.40

***

16.
First-principles (GGA-PBE) data for an optimized crystal structure of Pm12Tl4HgO3, as listed in Alexandria.

a = 8.9169 Å, b = 8.9169 Å, c = 8.9169 Å
α = 109.47°, β = 109.47°, γ = 109.47°
Closest atoms and distances in Å follow each position.
Fractional coordinates of all 20 atoms:
Hg  0.0000  0.0000  0.0000  6 Pm 2.81
Pm  0.7500  0.5000  0.2500  2 O 2.57
Tl  0.5000  0.5000  0.5000  12 Pm 3.64-3.65
Tl  0.5000  0.0000  0.0000  12 Pm 3.64-3.65
Pm  0.2500  0.5000  0.7500  2 O 2.57
Pm  0.7267  0.7267  0.0000  1 O 2.33
Pm  0.5000  0.2500  0.7500  2 O 2.57
Pm  0.2733  0.2733  0.0000  1 O 2.33
Pm  0.2500  0.7500  0.5000  2 O 2.57
Pm  0.7267  0.0000  0.7267  1 O 2.33
Pm  0.7500  0.2500  0.5000  2 O 2.57
Tl  0.0000  0.0000  0.5000  12 Pm 3.64-3.65
O  0.0000  0.5000  0.5000  6 Pm 2.33-2.57
Pm  0.0000  0.7267  0.7267  1 O 2.33
Pm  0.0000  0.2733  0.2733  1 O 2.33
O  0.5000  0.5000  0.0000  6 Pm 2.33-2.57
Pm  0.2733  0.0000  0.2733  1 O 2.33
Tl  0.0000  0.5000  0.0000  12 Pm 3.64-3.65
Pm  0.5000  0.7500  0.2500  2 O 2.57
O  0.5000  0.0000  0.5000  6 Pm 2.33-2.57

***

| no. | uncorrected formation energy (eV per atom) | M_tot (μB per atom) |
| --- | --- | --- |
| 1 | -1.3600 | 0.000 |
| 2 | -1.3584 | 0.000 |
| 3 | -1.2411 | 0.000 |
| 4 | -1.3750 | 0.000 |
| 5 | -1.3923 | 0.000 |
| 6 | -1.8580 | 0.083 |
| 7 | -1.5772 | 0.000 |
| 8 | -1.7194 | 0.000 |
| 9 | -1.3677 | 0.116 |
| 10 | -1.2828 | 0.000 |
| 11 | -1.6833 | 0.000 |
| 12 | -1.2353 | 0.000 |
| 13 | -2.5432 | 0.000 |
| 14 | -1.0285 | 0.000 |
| 15 | -1.4540 | 0.000 |
| 16 | -0.9243 | 0.000 |